CsCrSeBr2 | GGA-PBE | optimized geometry

Properties
**Formation energy (no corrections)**: -869 meV/atom
**Distance to the lowest polymorph of the same formula**: 0 meV/atom
**Symmetry**: No. 123
**Total magnetization**: 0.600 μB per atom

Structure (CIF):
```
data_CsCrSeBr2
_cell_length_a 5.534
_cell_length_b 5.534
_cell_length_c 4.859
_cell_angle_alpha 90.00
_cell_angle_beta 90.00
_cell_angle_gamma 90.00
_symmetry_space_group_name_H-M 'P 1'
_symmetry_Int_Tables_number 1
loop_
_symmetry_equiv_pos_as_xyz
'x,y,z'
loop_
_atom_site_label
_atom_site_type_symbol
_atom_site_fract_x
_atom_site_fract_y
_atom_site_fract_z
Cs1 Cs 0.500 0.500 0.500
Cr1 Cr 0.000 0.000 0.000
Se1 Se 0.000 0.000 0.500
Br1 Br 0.000 0.500 0.000
Br2 Br 0.500 0.000 0.000
```